No. 1
Computed, not measured: a geometry-optimized PmP2Ru2 structure at the PBE level of DFT.

Output
Size of the total moment: 0.0 μB/cell
Mass density: 8311 kg/m³
VASP energy: -7.849 eV per atom

Unit cell a=4.0744 b=4.0744 c=9.8471 alpha=90.00 beta=90.00 gamma=90.00
Closest atoms and distances in Å follow each position.
Space group I4/mmm (No. 139)
Symmetry-distinct sites (fractional):
Pm 0.0000 0.0000 0.0000 (multiplicity 2)  8 P 3.15, 8 Ru 3.20
P 0.0000 0.0000 0.3711 (multiplicity 4)  4 Ru 2.36, 1 P 2.54
Ru 0.0000 0.5000 0.2500 (multiplicity 4)  4 P 2.36



No. 2
Computed, not measured: a geometry-optimized AcB2Pt2N structure at the PBE level of DFT.

Output
Size of the total moment: 0.0 μB/cell
Mass density: 12977 kg/m³
VASP energy: -7.178 eV per atom
ΔE_f (raw): -866 meV per atom

Unit cell a=3.9402 b=3.9402 c=10.7604 alpha=90.00 beta=90.00 gamma=90.00
Closest atoms and distances in Å follow each position.
Space group I4/mmm (No. 139)
Symmetry-distinct sites (fractional):
Ac 0.0000 0.0000 0.0000 (multiplicity 2)  4 N 2.79
B 0.0000 0.0000 0.3658 (multiplicity 4)  1 N 1.44
Pt 0.0000 0.5000 0.2500 (multiplicity 4)  4 B 2.33
N 0.0000 0.0000 0.5000 (multiplicity 2)  2 B 1.44



No. 3
Computed, not measured: a geometry-optimized SrZnCr2 structure at the PBE level of DFT.

Output
Size of the total moment: 8.5 μB/cell
Mass density: 4719 kg/m³
VASP energy: -4.740 eV per atom

Unit cell a=4.4288 b=4.6018 c=4.4372 alpha=90.00 beta=90.16 gamma=90.00
Closest atoms and distances in Å follow each position.
Space group P2/m (No. 10)
Symmetry-distinct sites (fractional):
Sr 0.0000 0.0000 0.0000 (multiplicity 1)  8 Cr 3.13-3.20, 4 Zn 3.19
Zn 0.5000 0.5000 0.0000 (multiplicity 1)  8 Cr 3.13-3.20, 4 Sr 3.19
Cr 0.0000 0.5000 0.5000 (multiplicity 1)  4 Zn 3.13-3.14, 4 Cr 3.19, 4 Sr 3.20
Cr 0.5000 0.0000 0.5000 (multiplicity 1)  4 Sr 3.13-3.14, 4 Cr 3.19, 4 Zn 3.20



No. 4
Computed, not measured: a geometry-optimized DyErTm2Te6 structure at the PBE level of DFT.

Output
Size of the total moment: 0.0 μB/cell
Mass density: 6773 kg/m³
VASP energy: -5.037 eV per atom
ΔE_f (raw): -1341 meV per atom

Unit cell a=7.6296 b=7.6296 c=20.9116 alpha=90.00 beta=90.00 gamma=120.00
Closest atoms and distances in Å follow each position.
Space group R3 (No. 146, hexagonal axes)
Symmetry-distinct sites (fractional):
Dy 0.0000 0.0000 0.0000 (multiplicity 3)  6 Te 3.06-3.10
Er 0.0000 0.0000 0.5004 (multiplicity 3)  6 Te 3.05-3.08
Tm 0.0000 0.0000 0.1848 (multiplicity 3)  6 Te 3.03-3.07
Tm 0.0000 0.0000 0.6852 (multiplicity 3)  6 Te 3.04-3.07
Te 0.0191 0.3494 0.7603 (multiplicity 9)  2 Tm 3.04-3.07, 1 Er 3.05, 1 Dy 3.10
Te 0.0220 0.6717 0.2599 (multiplicity 9)  2 Tm 3.03-3.07, 1 Dy 3.06, 1 Er 3.08



No. 5
Computed, not measured: a geometry-optimized LaPHPd structure at the PBE level of DFT.

Output
Size of the total moment: 0.0 μB/cell
Mass density: 7127 kg/m³
VASP energy: -5.721 eV per atom

Unit cell a=4.3327 b=4.3327 c=3.9742 alpha=90.00 beta=90.00 gamma=120.00
Closest atoms and distances in Å follow each position.
Space group P-6m2 (No. 187)
Symmetry-distinct sites (fractional):
La 0.0000 0.0000 0.0000 (multiplicity 1)  3 H 2.50
P 0.3333 0.6667 0.5000 (multiplicity 1)  3 Pd 2.50
H 0.6667 0.3333 0.0000 (multiplicity 1)  2 Pd 1.99
Pd 0.6667 0.3333 0.5000 (multiplicity 1)  2 H 1.99



No. 6
Computed, not measured: a geometry-optimized Fe2TeMo structure at the PBE level of DFT.

Output
Size of the total moment: 7.7 μB/cell
Mass density: 8857 kg/m³
VASP energy: -7.260 eV per atom
ΔE_f (raw): 465 meV per atom

Unit cell a=8.6966 b=3.1418 c=4.6650 alpha=90.00 beta=99.56 gamma=90.00
Closest atoms and distances in Å follow each position.
Space group C2/m (No. 12)
Symmetry-distinct sites (fractional):
Fe 0.2416 0.0000 0.2041 (multiplicity 4)  2 Fe 2.49, 3 Mo 2.58-2.67, 1 Te 2.70
Te 0.0000 0.0000 0.5000 (multiplicity 2)  6 Fe 2.70-2.90, 4 Mo 2.81
Mo 0.0000 0.5000 0.0000 (multiplicity 2)  6 Fe 2.58-2.67, 4 Te 2.81



No. 7
Computed, not measured: a geometry-optimized Sm3Y2Ho9 structure at the PBE level of DFT.

Output
Size of the total moment: 0.0 μB/cell
Mass density: 7669 kg/m³
VASP energy: -4.767 eV per atom

Unit cell a=6.2602 b=8.6922 c=8.8010 alpha=79.74 beta=76.18 gamma=86.92
Closest atoms and distances in Å follow each position.
Space group P1 (No. 1)
Symmetry-distinct sites (fractional):
Sm 0.0000 0.0000 0.0000 (multiplicity 1)  6 Ho 3.35-3.68, 2 Y 3.43-3.55
Sm 0.1745 0.3494 0.2022 (multiplicity 1)  8 Ho 3.35-3.68, 1 Y 3.41
Sm 0.6836 0.5926 0.6529 (multiplicity 1)  10 Ho 3.35-3.69, 1 Y 3.54
Y 0.3630 0.9411 0.6367 (multiplicity 1)  8 Ho 3.41-3.62, 1 Y 3.42, 2 Sm 3.54-3.55
Y 0.4765 0.0122 0.2314 (multiplicity 1)  8 Ho 3.37-3.71, 2 Sm 3.41-3.43, 1 Y 3.42
Ho 0.0215 0.2812 0.6395 (multiplicity 1)  3 Sm 3.35-3.68, 8 Ho 3.48-3.70, 1 Y 3.55
Ho 0.1243 0.5937 0.8324 (multiplicity 1)  3 Ho 3.20-3.46, 1 Y 3.42, 2 Sm 3.48-3.49
Ho 0.2748 0.6419 0.4224 (multiplicity 1)  7 Ho 3.43-3.60, 2 Y 3.50-3.61, 3 Sm 3.59-3.78
Ho 0.4444 0.2256 0.8384 (multiplicity 1)  3 Ho 3.20-3.48, 3 Sm 3.36-3.57, 1 Y 3.41
Ho 0.4598 0.7368 0.0091 (multiplicity 1)  4 Ho 3.30-3.55, 2 Y 3.37-3.61, 2 Sm 3.53-3.59
Ho 0.5884 0.3056 0.4352 (multiplicity 1)  7 Ho 3.37-3.57, 2 Y 3.53-3.55, 3 Sm 3.56-3.75
Ho 0.7329 0.3676 0.0348 (multiplicity 1)  5 Ho 3.20-3.55, 3 Sm 3.41-3.55, 1 Y 3.52
Ho 0.8390 0.6607 0.2378 (multiplicity 1)  3 Sm 3.35-3.50, 7 Ho 3.43-3.72, 1 Y 3.71
Ho 0.9217 0.9701 0.4322 (multiplicity 1)  4 Ho 3.49-3.68, 4 Y 3.51-3.62, 3 Sm 3.68-3.76



No. 8
Computed, not measured: a geometry-optimized UCr4C4 structure at the PBE level of DFT.

Output
Size of the total moment: 0.7 μB/cell
Mass density: 8613 kg/m³
VASP energy: -9.815 eV per atom

Unit cell a=7.9503 b=7.9503 c=3.0139 alpha=90.00 beta=90.00 gamma=90.00
Closest atoms and distances in Å follow each position.
Space group I4/m (No. 87)
Symmetry-distinct sites (fractional):
U 0.0000 0.0000 0.0000 (multiplicity 2)  8 C 2.51
Cr 0.1349 0.3213 0.5000 (multiplicity 8)  4 C 1.95-1.96
C 0.0960 0.7657 0.5000 (multiplicity 8)  4 Cr 1.95-1.96



No. 9
Computed, not measured: a geometry-optimized Ba2Sr2Li2Rh structure at the PBE level of DFT.

Output
Size of the total moment: 0.0 μB/cell
Mass density: 3212 kg/m³
VASP energy: -2.681 eV per atom

Unit cell a=4.6540 b=8.1268 c=9.0069 alpha=116.18 beta=104.86 gamma=90.02
Closest atoms and distances in Å follow each position.
Space group P-1 (No. 2)
Symmetry-distinct sites (fractional):
Ba 0.1955 0.1981 0.3907 (multiplicity 2)  1 Rh 3.03
Sr 0.4965 0.2329 0.9928 (multiplicity 2)  2 Rh 3.02
Li 0.1095 0.6003 0.2201 (multiplicity 2)  1 Li 3.41, 4 Sr 3.58-3.60, 2 Ba 3.80-3.81
Rh 0.0000 0.0000 0.0000 (multiplicity 1)  4 Sr 3.02, 2 Ba 3.03



No. 10
Computed, not measured: a geometry-optimized Na3UPa2Te6 structure at the PBE level of DFT.

Output
Size of the total moment: 13.9 μB/cell
Mass density: 6670 kg/m³
VASP energy: -5.253 eV per atom
ΔE_f (raw): -829 meV per atom

Unit cell a=20.0495 b=4.3278 c=9.3040 alpha=90.00 beta=108.83 gamma=90.00
Closest atoms and distances in Å follow each position.
Space group C2/m (No. 12)
Symmetry-distinct sites (fractional):
Na 0.0000 0.0000 0.0000 (multiplicity 2)  6 Te 3.23
Na 0.1658 0.5000 0.3338 (multiplicity 4)  6 Te 3.22-3.23
U 0.0000 0.0000 0.5000 (multiplicity 2)  6 Te 3.13-3.14
Pa 0.1664 0.5000 0.8328 (multiplicity 4)  6 Te 3.11-3.13
Te 0.0029 0.5000 0.7449 (multiplicity 4)  1 Pa 3.11, 2 U 3.13, 3 Na 3.22-3.23
Te 0.1652 0.0000 0.5899 (multiplicity 4)  2 Pa 3.12, 1 U 3.14, 3 Na 3.22-3.23
Te 0.1691 0.0000 0.0780 (multiplicity 4)  3 Pa 3.13, 3 Na 3.23



No. 11
Computed, not measured: a geometry-optimized K3Zr2ScTe6 structure at the PBE level of DFT.

Output
Size of the total moment: 0.0 μB/cell
Mass density: 4778 kg/m³
VASP energy: -4.849 eV per atom
ΔE_f (raw): -1051 meV per atom

Unit cell a=7.3011 b=12.6439 c=8.7069 alpha=90.00 beta=106.23 gamma=90.00
Closest atoms and distances in Å follow each position.
Space group C2/m (No. 12)
Symmetry-distinct sites (fractional):
K 0.0000 0.0000 0.0000 (multiplicity 2)  6 Te 3.48
K 0.0000 0.3330 0.0000 (multiplicity 4)  6 Te 3.48
Zr 0.0000 0.1664 0.5000 (multiplicity 4)  6 Te 2.97
Sc 0.0000 0.5000 0.5000 (multiplicity 2)  6 Te 2.96
Te 0.2341 0.3335 0.7030 (multiplicity 8)  1 Sc 2.96, 2 Zr 2.97
Te 0.2350 0.0000 0.7033 (multiplicity 4)  1 Sc 2.96, 2 Zr 2.97



No. 12
Computed, not measured: a geometry-optimized Ba2Ga5Pt3 structure at the PBE level of DFT.

Output
Size of the total moment: 0.0 μB/cell
Mass density: 9260 kg/m³
VASP energy: -4.433 eV per atom

Unit cell a=14.3381 b=10.7964 c=6.2095 alpha=90.00 beta=115.59 gamma=90.00
Closest atoms and distances in Å follow each position.
Space group C2/c (No. 15)
Symmetry-distinct sites (fractional):
Ba 0.1315 0.2328 0.1313 (multiplicity 8)  10 Ga 3.32-3.53, 7 Pt 3.39-3.70
Ga 0.0000 0.0004 0.2500 (multiplicity 4)  4 Pt 2.61
Ga 0.1048 0.3533 0.6043 (multiplicity 8)  3 Pt 2.60-2.68, 2 Ga 2.71-2.72
Ga 0.2257 0.5001 0.4757 (multiplicity 8)  3 Pt 2.65-2.92, 2 Ga 2.71-2.72
Pt 0.0000 0.4995 0.7500 (multiplicity 4)  4 Ga 2.60
Pt 0.1351 0.1076 0.6349 (multiplicity 8)  5 Ga 2.61-2.68